Computed, not measured: an optimized crystal structure of Zn2GaHg at the GGA-PBE level of DFT.

a b c (Å): 3.2726 3.2726 8.4265
angles (deg): 78.80 78.80 60.00
Last column: nearest neighbours and their distance in Å.
Fractional coordinates of all 4 atoms:
Hg1 0.4999 0.4999 0.5004  6 Zn 2.86-2.87
Zn1 0.0794 0.0794 0.7617  3 Ga 2.72, 3 Hg 2.86
Zn2 0.2541 0.2541 0.2377  3 Ga 2.72, 3 Hg 2.87
Ga1 0.6666 0.6666 0.0002  6 Zn 2.72

SG	R3m (160)
V	19.0	Å³ per atom
DOS(E_F)	1.35	states/eV/cell
ΔH_f (0 K)	0.109	eV per atom


Computed, not measured: an optimized crystal structure of Zn3GaHg at the GGA-PBE level of DFT.

a b c (Å): 5.0214 5.0214 5.0214
angles (deg): 90.00 90.00 90.00
Last column: nearest neighbours and their distance in Å.
Fractional coordinates of all 5 atoms:
Zn1 0.5000 0.0000 0.0000  2 Hg 2.51
Zn2 0.0000 0.0000 0.5000  2 Hg 2.51
Zn3 0.0000 0.5000 0.0000  2 Hg 2.51
Ga1 0.5000 0.5000 0.5000  12 Zn 3.55
Hg1 0.0000 0.0000 0.0000  6 Zn 2.51

SG	Pm-3m (221)
V	25.3	Å³ per atom
DOS(E_F)	1.76	states/eV/cell
ΔH_f (0 K)	0.462	eV per atom